PBE with a Hubbard U CaMnF5, relaxed; offset from the most stable computed form = 0.0 meV/atom; magnetization = 8.0 Bohr magnetons per cell; raw total energy = -5.80 eV/atom; space group = C2/c, No. 15
1.0
3.237 4.564 0.007
-3.237 4.564 0.007
0.000 3.504 7.173
F Mn Ca
10 2 2
Direct
0.307 0.713 0.033
0.790 0.757 0.117
0.287 0.693 0.467
0.713 0.307 0.533
0.757 0.790 0.617
0.693 0.287 0.967
0.098 0.902 0.750
0.902 0.098 0.250
0.243 0.210 0.383
0.210 0.243 0.883
0.000 0.000 0.500
0.000 0.000 0.000
0.544 0.456 0.250
0.456 0.544 0.750